Compound: UHgBiN
Source: the Alexandria database
Functional: PBE
Structure: optimized geometry Values from VASP.

Output
The value obtained for the uncorrected formation energy is -0.562 eV per atom. Its total DFT energy (no corrections) is -0.47856 Ry per atom. The calculation puts the volume at 24.250 A^3/atom.

```
&SYSTEM
  ibrav = 0, nat = 8, ntyp = 4
/
ATOMIC_SPECIES
U 238.03 U.upf
Hg 200.59 Hg.upf
Bi 208.98 Bi.upf
N 14.01 N.upf
CELL_PARAMETERS angstrom
3.9735 0.0000 0.0000
0.0000 3.9735 0.0000
0.0000 0.0000 12.2877
ATOMIC_POSITIONS crystal
U 0.2500 0.2500 0.0880
U 0.7500 0.7500 0.9120
Hg 0.2500 0.7500 0.5000
Hg 0.7500 0.2500 0.5000
Bi 0.2500 0.2500 0.7566
Bi 0.7500 0.7500 0.2434
N 0.2500 0.7500 0.0000
N 0.7500 0.2500 0.0000
```